# 1
DFT (PBE) results for crystalline CdAsIr2 at its relaxed geometry.

Unit cell a=6.440 b=6.440 c=6.440 alpha=90.00 beta=90.00 gamma=90.00
Element x y z (fractional)
Cd 0.000 0.000 0.000
Cd 0.000 0.500 0.500
Cd 0.500 0.000 0.500
Cd 0.500 0.500 0.000
As 0.250 0.250 0.250
As 0.250 0.750 0.750
As 0.750 0.250 0.750
As 0.750 0.750 0.250
Ir 0.000 0.000 0.500
Ir 0.000 0.500 0.000
Ir 0.250 0.250 0.750
Ir 0.250 0.750 0.250
Ir 0.500 0.000 0.000
Ir 0.500 0.500 0.500
Ir 0.750 0.250 0.250
Ir 0.750 0.750 0.750

Calculated values
The density of states at the Fermi level comes out at 1.15 states/eV per atom. The calculated total energy is -5.35 eV/atom. As for the formation energy: 0.472 eV/atom.

***

# 2
DFT (PBE) results for crystalline ScSiPt2 at its relaxed geometry.

Unit cell a=3.518 b=4.289 c=8.595 alpha=90.00 beta=90.00 gamma=90.00
Element x y z (fractional)
Sc 0.000 0.000 0.000
Sc 0.500 0.500 0.500
Si 0.000 0.500 0.757
Si 0.500 0.000 0.257
Pt 0.000 0.000 0.456
Pt 0.000 0.500 0.227
Pt 0.500 0.000 0.727
Pt 0.500 0.500 0.956

Calculated values
The density of states at the Fermi level comes out at 0.53 states/eV per atom. The value obtained for the uncorrected formation energy is -0.865 eV per atom. The calculated total energy is -6.82 eV/atom.

***

# 3
DFT (PBE) results for crystalline GdYSb at its relaxed geometry.

Unit cell a=3.357 b=3.357 c=17.541 alpha=90.00 beta=90.00 gamma=90.00
Element x y z (fractional)
Gd 0.000 0.000 0.000
Gd 0.500 0.500 0.500
Y 0.000 0.000 0.801
Y 0.500 0.500 0.301
Sb 0.000 0.000 0.625
Sb 0.500 0.500 0.125

Calculated values
The density of states at the Fermi level comes out at 1.23 states/eV per atom. The value obtained for the uncorrected formation energy is 0.012 eV per atom. The calculated total energy is -8.21 eV/atom.

***

# 4
DFT (PBE) results for crystalline VAgS2N at its relaxed geometry.

Unit cell a=4.754 b=4.754 c=3.649 alpha=90.00 beta=90.00 gamma=90.00
Element x y z (fractional)
V 0.000 0.000 0.000
Ag 0.500 0.500 0.500
S 0.000 0.500 0.000
S 0.500 0.000 0.000
N 0.000 0.000 0.500

Calculated values
The density of states at the Fermi level comes out at 0.62 states/eV per atom. The value obtained for the uncorrected formation energy is 0.119 eV per atom. The calculated total energy is -5.59 eV/atom.

***

# 5
DFT (PBE) results for crystalline SmErGeRh at its relaxed geometry.

Unit cell a=4.160 b=4.111 c=10.599 alpha=90.00 beta=90.00 gamma=90.00
Element x y z (fractional)
Sm 0.000 0.000 0.000
Sm 0.000 0.500 0.500
Er 0.500 0.000 0.719
Er 0.500 0.500 0.219
Ge 0.500 0.000 0.428
Ge 0.500 0.500 0.928
Rh 0.000 0.000 0.274
Rh 0.000 0.500 0.774

Calculated values
The density of states at the Fermi level comes out at 0.79 states/eV per atom. The calculated total energy is -6.16 eV/atom. As for the formation energy: -0.844 eV/atom.

***

# 6
DFT (PBE) results for crystalline K2RbBaBr4 at its relaxed geometry.

Unit cell a=8.559 b=4.596 c=8.573 alpha=90.00 beta=106.99 gamma=90.00
Element x y z (fractional)
K 0.000 0.000 0.000
K 0.000 0.500 0.500
Rb 0.500 0.000 0.500
Ba 0.500 0.500 0.000
Br 0.240 0.000 0.748
Br 0.248 0.500 0.234
Br 0.752 0.500 0.766
Br 0.760 0.000 0.252

Calculated values
The density of states at the Fermi level comes out at 0.26 states/eV per atom. The value obtained for the uncorrected formation energy is -1.650 eV per atom. The calculated total energy is -3.12 eV/atom.

***

# 7
DFT (PBE) results for crystalline Nd3Zn2Ag2 at its relaxed geometry.

Unit cell a=10.752 b=4.914 c=6.708 alpha=90.00 beta=103.93 gamma=90.00
Element x y z (fractional)
Nd 0.000 0.000 0.000
Nd 0.155 0.500 0.736
Nd 0.345 0.000 0.264
Nd 0.500 0.500 0.000
Nd 0.655 0.000 0.736
Nd 0.845 0.500 0.264
Zn 0.107 0.000 0.454
Zn 0.393 0.500 0.546
Zn 0.607 0.500 0.454
Zn 0.893 0.000 0.546
Ag 0.154 0.500 0.251
Ag 0.346 0.000 0.749
Ag 0.654 0.000 0.251
Ag 0.846 0.500 0.749

Calculated values
The density of states at the Fermi level comes out at 0.73 states/eV per atom. The calculated total energy is -3.46 eV/atom. As for the formation energy: -0.241 eV/atom.

***

# 8
DFT (PBE) results for crystalline BaTbCdIn at its relaxed geometry.

Unit cell a=8.041 b=8.041 c=8.041 alpha=90.00 beta=90.00 gamma=90.00
Element x y z (fractional)
Ba 0.000 0.000 0.000
Ba 0.000 0.500 0.500
Ba 0.500 0.000 0.500
Ba 0.500 0.500 0.000
Tb 0.000 0.000 0.500
Tb 0.000 0.500 0.000
Tb 0.500 0.000 0.000
Tb 0.500 0.500 0.500
Cd 0.250 0.250 0.250
Cd 0.250 0.750 0.750
Cd 0.750 0.250 0.750
Cd 0.750 0.750 0.250
In 0.250 0.250 0.750
In 0.250 0.750 0.250
In 0.750 0.250 0.250
In 0.750 0.750 0.750

Calculated values
The density of states at the Fermi level comes out at 0.92 states/eV per atom. The calculated total energy is -2.81 eV/atom. As for the formation energy: -0.258 eV/atom.

***

# 9
DFT (PBE) results for crystalline CaLaGeSb2 at its relaxed geometry.

Unit cell a=5.962 b=5.962 c=6.268 alpha=90.00 beta=90.00 gamma=90.00
Element x y z (fractional)
Ca 0.000 0.000 0.000
La 0.000 0.000 0.500
Ge 0.500 0.500 0.000
Sb 0.000 0.500 0.500
Sb 0.500 0.000 0.500

Calculated values
The density of states at the Fermi level comes out at 1.80 states/eV per atom. The value obtained for the uncorrected formation energy is 0.732 eV per atom. The calculated total energy is -3.23 eV/atom.

***

# 10
DFT (PBE) results for crystalline GaFeRhAu at its relaxed geometry.

Unit cell a=6.195 b=6.195 c=6.195 alpha=90.00 beta=90.00 gamma=90.00
Element x y z (fractional)
Ga 0.000 0.000 0.000
Ga 0.000 0.500 0.500
Ga 0.500 0.000 0.500
Ga 0.500 0.500 0.000
Fe 0.000 0.000 0.500
Fe 0.000 0.500 0.000
Fe 0.500 0.000 0.000
Fe 0.500 0.500 0.500
Rh 0.250 0.250 0.250
Rh 0.250 0.750 0.750
Rh 0.750 0.250 0.750
Rh 0.750 0.750 0.250
Au 0.250 0.250 0.750
Au 0.250 0.750 0.250
Au 0.750 0.250 0.250
Au 0.750 0.750 0.750

Calculated values
The density of states at the Fermi level comes out at 0.99 states/eV per atom. The calculated total energy is -5.64 eV/atom. As for the formation energy: -0.107 eV/atom.

***

# 11
DFT (PBE) results for crystalline Na3InHg12 at its relaxed geometry.

Unit cell a=4.787 b=4.787 c=18.268 alpha=90.00 beta=90.00 gamma=90.00
Element x y z (fractional)
Na 0.000 0.000 0.000
Na 0.000 0.000 0.252
Na 0.000 0.000 0.748
In 0.000 0.000 0.500
Hg 0.000 0.500 0.126
Hg 0.000 0.500 0.375
Hg 0.000 0.500 0.625
Hg 0.000 0.500 0.874
Hg 0.500 0.000 0.126
Hg 0.500 0.000 0.375
Hg 0.500 0.000 0.625
Hg 0.500 0.000 0.874
Hg 0.500 0.500 0.000
Hg 0.500 0.500 0.251
Hg 0.500 0.500 0.500
Hg 0.500 0.500 0.749

Calculated values
The density of states at the Fermi level comes out at 0.43 states/eV per atom. The calculated total energy is -0.78 eV/atom. As for the formation energy: -0.136 eV/atom.

***

# 12
DFT (PBE) results for crystalline Zr2Sc6Tl at its relaxed geometry.

Unit cell a=8.655 b=8.655 c=3.299 alpha=90.00 beta=90.00 gamma=120.00
Element x y z (fractional)
Zr 0.333 0.667 0.000
Zr 0.667 0.333 0.000
Sc 0.000 0.305 0.000
Sc 0.000 0.631 0.500
Sc 0.305 0.000 0.000
Sc 0.369 0.369 0.500
Sc 0.631 0.000 0.500
Sc 0.695 0.695 0.000
Tl 0.000 0.000 0.500

Calculated values
The density of states at the Fermi level comes out at 1.28 states/eV per atom. The calculated total energy is -6.48 eV/atom. As for the formation energy: -0.096 eV/atom.

***

# 13
DFT (PBE) results for crystalline Ba2S2Br at its relaxed geometry.

Unit cell a=8.709 b=8.709 c=4.060 alpha=90.00 beta=90.00 gamma=90.00
Element x y z (fractional)
Ba 0.161 0.339 0.000
Ba 0.339 0.839 0.000
Ba 0.661 0.161 0.000
Ba 0.839 0.661 0.000
S 0.142 0.642 0.500
S 0.358 0.142 0.500
S 0.642 0.858 0.500
S 0.858 0.358 0.500
Br 0.000 0.000 0.500
Br 0.500 0.500 0.500

Calculated values
The density of states at the Fermi level comes out at 1.27 states/eV per atom. The value obtained for the uncorrected formation energy is -1.571 eV per atom. The calculated total energy is -4.33 eV/atom.

***

# 14
DFT (PBE) results for crystalline AgSb2Se at its relaxed geometry.

Unit cell a=5.060 b=4.209 c=5.086 alpha=90.00 beta=110.27 gamma=90.00
Element x y z (fractional)
Ag 0.000 0.000 0.000
Sb 0.235 0.500 0.739
Sb 0.506 0.000 0.498
Se 0.789 0.500 0.236

Calculated values
The density of states at the Fermi level comes out at 0.54 states/eV per atom. The value obtained for the uncorrected formation energy is 0.002 eV per atom. The calculated total energy is -3.64 eV/atom.

***

# 15
DFT (PBE) results for crystalline K2NaSbTe4 at its relaxed geometry.

Unit cell a=16.080 b=14.722 c=8.173 alpha=84.04 beta=65.59 gamma=30.37
Element x y z (fractional)
K 0.072 0.072 0.678
K 0.322 0.322 0.928
K 0.678 0.678 0.072
K 0.928 0.928 0.322
Na 0.125 0.125 0.125
Na 0.875 0.875 0.875
Sb 0.375 0.375 0.375
Sb 0.625 0.625 0.625
Te 0.008 0.350 0.478
Te 0.336 0.522 0.650
Te 0.350 0.008 0.664
Te 0.478 0.664 0.008
Te 0.522 0.336 0.992
Te 0.650 0.992 0.336
Te 0.664 0.478 0.350
Te 0.992 0.650 0.522

Calculated values
The value obtained for the uncorrected formation energy is -0.522 eV per atom. The calculated total energy is -3.05 eV/atom.

***

# 16
DFT (PBE) results for crystalline Hf6GaC3 at its relaxed geometry.

Unit cell a=10.218 b=3.343 c=10.529 alpha=90.00 beta=115.94 gamma=90.00
Element x y z (fractional)
Hf 0.031 0.250 0.382
Hf 0.102 0.750 0.938
Hf 0.231 0.750 0.274
Hf 0.255 0.250 0.797
Hf 0.433 0.250 0.575
Hf 0.443 0.250 0.120
Hf 0.557 0.750 0.880
Hf 0.567 0.750 0.425
Hf 0.745 0.750 0.203
Hf 0.769 0.250 0.726
Hf 0.898 0.250 0.062
Hf 0.969 0.750 0.618
Ga 0.225 0.750 0.578
Ga 0.775 0.250 0.422
C 0.024 0.250 0.778
C 0.345 0.750 0.958
C 0.403 0.250 0.342
C 0.597 0.750 0.658
C 0.655 0.250 0.042
C 0.976 0.750 0.222

Calculated values
The density of states at the Fermi level comes out at 0.55 states/eV per atom. The calculated total energy is -9.64 eV/atom. As for the formation energy: -0.602 eV/atom.

***

# 17
DFT (PBE) results for crystalline TmH6Os at its relaxed geometry.

Unit cell a=4.597 b=4.597 c=4.597 alpha=57.07 beta=57.07 gamma=57.07
Element x y z (fractional)
Tm 0.000 0.000 0.000
H 0.048 0.602 0.602
H 0.398 0.398 0.952
H 0.398 0.952 0.398
H 0.602 0.048 0.602
H 0.602 0.602 0.048
H 0.952 0.398 0.398
Os 0.500 0.500 0.500

Calculated values
The density of states at the Fermi level comes out at 0.25 states/eV per atom. The calculated total energy is -4.63 eV/atom.

***

# 18
DFT (PBE) results for crystalline LaEu2Lu at its relaxed geometry.

Unit cell a=5.205 b=5.205 c=5.383 alpha=90.00 beta=90.00 gamma=90.00
Element x y z (fractional)
La 0.000 0.000 0.000
Eu 0.000 0.500 0.500
Eu 0.500 0.000 0.500
Lu 0.500 0.500 0.000

Calculated values
The density of states at the Fermi level comes out at 1.58 states/eV per atom. The calculated total energy is -7.38 eV/atom. As for the formation energy: 0.124 eV/atom.

***

# 19
DFT (PBE) results for crystalline TePd2Pt at its relaxed geometry.

Unit cell a=6.520 b=6.520 c=6.520 alpha=90.00 beta=90.00 gamma=90.00
Element x y z (fractional)
Te 0.000 0.000 0.000
Te 0.000 0.500 0.500
Te 0.500 0.000 0.500
Te 0.500 0.500 0.000
Pd 0.250 0.250 0.250
Pd 0.250 0.250 0.750
Pd 0.250 0.750 0.250
Pd 0.250 0.750 0.750
Pd 0.750 0.250 0.250
Pd 0.750 0.250 0.750
Pd 0.750 0.750 0.250
Pd 0.750 0.750 0.750
Pt 0.000 0.000 0.500
Pt 0.000 0.500 0.000
Pt 0.500 0.000 0.000
Pt 0.500 0.500 0.500

Calculated values
The density of states at the Fermi level comes out at 0.50 states/eV per atom. The value obtained for the uncorrected formation energy is -0.113 eV per atom. The calculated total energy is -5.01 eV/atom.

***

# 20
DFT (PBE) results for crystalline PrHgI at its relaxed geometry.

Unit cell a=7.825 b=4.522 c=12.608 alpha=90.00 beta=91.36 gamma=90.00
Element x y z (fractional)
Pr 0.007 0.000 0.190
Pr 0.493 0.500 0.810
Pr 0.507 0.500 0.190
Pr 0.993 0.000 0.810
Hg 0.165 0.500 0.949
Hg 0.335 0.000 0.051
Hg 0.665 0.000 0.949
Hg 0.835 0.500 0.051
I 0.180 0.500 0.347
I 0.320 0.000 0.653
I 0.680 0.000 0.347
I 0.820 0.500 0.653

Calculated values
The density of states at the Fermi level comes out at 0.65 states/eV per atom. The value obtained for the uncorrected formation energy is -0.830 eV per atom. The calculated total energy is -3.04 eV/atom.